1.
# Ge2Sb2Pt

Ge2Sb2Pt after structural relaxation (GGA-PBE, the Alexandria database).

Cell and atoms, written as extended XYZ:
```
10
Lattice="6.434 0.000 0.000 0.000 6.434 0.000 0.000 0.000 5.384" Properties=species:S:1:pos:R:3 pbc="T T T"
Sb 1.172 4.389 2.692
Sb 4.389 5.262 2.692
Sb 5.262 2.045 2.692
Sb 2.045 1.172 2.692
Ge 2.318 5.535 0.000
Ge 5.535 4.117 0.000
Ge 4.117 0.899 0.000
Ge 0.899 2.318 0.000
Pt 0.000 0.000 0.000
Pt 3.217 3.217 0.000
```

Calculated values
Calculated total energy   -23.06 eV/f.u.
Space group   P4/mbm (127)
Energy relative to the elements, uncorrected   44 kJ/mol of formula units

=====

2.
# GeSbPt2

GeSbPt2 after structural relaxation (GGA-PBE, the Alexandria database).

Cell and atoms, written as extended XYZ:
```
4
Lattice="0.000 3.321 3.321 3.321 0.000 3.321 3.321 3.321 0.000" Properties=species:S:1:pos:R:3 pbc="T T T"
Sb 3.321 3.321 3.321
Ge 0.000 0.000 0.000
Pt 1.661 1.661 1.661
Pt 4.982 4.982 4.982
```

Calculated values
Calculated total energy   -21.24 eV/f.u.
Space group   Fm-3m (225)
Energy relative to the elements, uncorrected   -41 kJ/mol of formula units

=====

The following energy above the most stable polymorph in this dataset values (in eV/atom) correspond, in order, to the records above: 0.000; 0.322.